An optimized crystal structure of Sr2Sb. Source: the Alexandria database, functional PBE.

spin magnetization = 0.00 μB/f.u.
raw formation energy = -73 kJ per mole of atoms
space group = Immm
final energy = -3.256 eV per atom
mass density = 4.0 Mg/m³

abc: 8.459 8.459 8.459
angles: 148.15 129.01 61.39
Fractional coordinates of all 6 atoms:
Sr: 0.203 0.203 0.000
Sr: 0.275 0.500 0.775
Sr: 0.725 0.500 0.225
Sr: 0.797 0.797 0.000
Sb: 0.359 0.859 0.500
Sb: 0.641 0.141 0.500

=====

An optimized crystal structure of SrTa2Sb. Source: the Alexandria database, functional PBE.

spin magnetization = 0.00 μB/f.u.
raw formation energy = 60 kJ per mole of atoms
space group = Immm
final energy = -6.756 eV per atom
mass density = 10.2 Mg/m³

abc: 5.972 5.972 5.972
angles: 142.88 132.82 61.50
Fractional coordinates of all 4 atoms:
Sr: 0.000 0.000 0.000
Ta: 0.263 0.763 0.500
Ta: 0.737 0.237 0.500
Sb: 0.500 0.500 0.000

=====

An optimized crystal structure of SrTa2Sb. Source: the Alexandria database, functional PBE.

spin magnetization = 0.00 μB/f.u.
raw formation energy = 74 kJ per mole of atoms
space group = R-3m
final energy = -6.605 eV per atom
mass density = 10.3 Mg/m³

abc: 10.626 10.626 10.626
angles: 17.27 17.27 17.27
Fractional coordinates of all 4 atoms:
Sr: 0.000 0.000 0.000
Ta: 0.241 0.241 0.241
Ta: 0.759 0.759 0.759
Sb: 0.500 0.500 0.500